Record 1
Density functional theory data (PBE) for an optimized crystal structure of NpNi3Ir.

a b c (Å): 4.581 14.477 4.867
angles (deg): 90.00 90.00 90.00
Space group Cmcm (No. 63)
Unique sites:
Np  0.000  0.162  0.250 x4
Ni  0.000  0.000  0.000 x4
Ni  0.249  0.175  0.750 x8
Ir  0.000  0.477  0.250 x4

Calculated values
ΔE_f: 260 meV per atom
Magnetization: 2.45 μB per formula unit



Record 2
Density functional theory data (PBE) for an optimized crystal structure of Np3Ni8Ir.

a b c (Å): 4.9097 4.9097 24.2216
angles (deg): 90.00 90.00 120.00
Space group R3m (No. 160, hexagonal axes)
Unique sites:
Np  0.0000  0.0000  0.0000 x3
Np  0.0000  0.0000  0.1268 x3
Np  0.0000  0.0000  0.5094 x3
Ni  0.0000  0.0000  0.3163 x3
Ni  0.0000  0.0000  0.8160 x3
Ni  0.9997  0.4998  0.5672 x9
Ni  0.1679  0.3357  0.3981 x9
Ir  0.0000  0.0000  0.6303 x3

Calculated values
ΔE_f: -153 meV per atom
Magnetization: 8.68 μB per formula unit



Record 3
Density functional theory data (PBE) for an optimized crystal structure of NpNi5Ir2.

a b c (Å): 3.585 7.260 8.903
angles (deg): 90.00 90.00 90.00
Space group Immm (No. 71)
Unique sites:
Np  0.000  0.000  0.000 x2
Ni  0.000  0.174  0.361 x8
Ni  0.000  0.500  0.000 x2
Ir  0.000  0.500  0.283 x4

Calculated values
ΔE_f: 31 meV per atom
Magnetization: 0.03 μB per formula unit



Record 4
Density functional theory data (PBE) for an optimized crystal structure of NpNiIr2.

a b c (Å): 4.5161 4.5161 11.0943
angles (deg): 90.00 90.00 120.00
Space group R-3m (No. 166, hexagonal axes)
Unique sites:
Np  0.0000  0.0000  0.0000 x3
Ni  0.0000  0.0000  0.5000 x3
Ir  0.0000  0.0000  0.2454 x6

Calculated values
ΔE_f: -59 meV per atom
Energy above the most stable polymorph in this dataset: 0.236 eV/atom
Magnetization: 2.69 μB per formula unit



Record 5
Density functional theory data (PBE) for an optimized crystal structure of NpNiIr2.

a b c (Å): 4.036 4.036 3.895
angles (deg): 90.00 90.00 90.00
Space group P4/mmm (No. 123)
Unique sites:
Np  0.000  0.000  0.000 x1
Ni  0.500  0.500  0.000 x1
Ir  0.000  0.500  0.500 x2

Calculated values
ΔE_f: -295 meV per atom
Energy above the most stable polymorph in this dataset: 0.000 eV/atom
Magnetization: 1.60 μB per formula unit



Record 6
Density functional theory data (PBE) for an optimized crystal structure of NpNi4Ir.

a b c (Å): 6.855 6.855 6.855
angles (deg): 90.00 90.00 90.00
Space group F-43m (No. 216)
Unique sites:
Np  0.000  0.000  0.000 x4
Ni  0.124  0.124  0.376 x16
Ir  0.250  0.250  0.750 x4

Calculated values
ΔE_f: -156 meV per atom
Magnetization: 0.70 μB per formula unit